## w
AlHgS2: optimized geometry, PBE-GGA.

## Properties
Density of states at the Fermi level in states/eV/cell: 5.72
Size of the total moment in Bohr magnetons per cell: 0.0

a = 7.891 Å, b = 7.891 Å, c = 5.959 Å
α = 90.00°, β = 90.00°, γ = 90.00°
Space group I4cm (No. 108)
Symmetry-distinct sites (fractional):
Al: 0.000 0.500 0.000 x4
Hg: 0.000 0.000 0.251 x4
S: 0.154 0.346 0.250 x8

---

## x
AlHgS2: optimized geometry, PBE-GGA.

## Properties
Density of states at the Fermi level in states/eV/cell: 6.40
Size of the total moment in Bohr magnetons per cell: 0.0

a = 4.2213 Å, b = 4.2213 Å, c = 21.6232 Å
α = 90.00°, β = 90.00°, γ = 120.00°
Space group R-3m (No. 166, hexagonal axes)
Symmetry-distinct sites (fractional):
Al: 0.0000 0.0000 0.0000 x3
Hg: 0.0000 0.0000 0.5000 x3
S: 0.0000 0.0000 0.0979 x6

---

## y
AlHgS2: optimized geometry, PBE-GGA.

## Properties
Density of states at the Fermi level in states/eV/cell: 8.87
Size of the total moment in Bohr magnetons per cell: 0.0

a = 6.654 Å, b = 6.654 Å, c = 6.654 Å
α = 90.00°, β = 90.00°, γ = 90.00°
Space group Fm-3m (No. 225)
Symmetry-distinct sites (fractional):
Al: 0.000 0.000 0.000 x4
Hg: 0.000 0.000 0.500 x4
S: 0.250 0.250 0.250 x8

---

## z
AlHgS2: optimized geometry, PBE-GGA.

## Properties
Density of states at the Fermi level in states/eV/cell: 6.50
Size of the total moment in Bohr magnetons per cell: 0.0

a = 3.5254 Å, b = 3.5254 Å, c = 24.0529 Å
α = 90.00°, β = 90.00°, γ = 120.00°
Space group R-3m (No. 166, hexagonal axes)
Symmetry-distinct sites (fractional):
Al: 0.0000 0.0000 0.0000 x3
Hg: 0.0000 0.0000 0.5000 x3
S: 0.0000 0.0000 0.3869 x6

---

Which structure is most stable? w, by 0.053 eV/atom over the runner-up.

---

## w
AlHgS2: optimized geometry, PBE-GGA.

## Properties
Density of states at the Fermi level in states/eV/cell: 2.03
Size of the total moment in Bohr magnetons per cell: 0.0

a = 7.297 Å, b = 8.240 Å, c = 6.299 Å
α = 90.00°, β = 90.00°, γ = 90.00°
Space group Pna2_1 (No. 33)
Symmetry-distinct sites (fractional):
Al: 0.005 0.120 0.000 x4
Hg: 0.120 0.559 0.081 x4
S: 0.011 0.871 0.853 x4
S: 0.229 0.283 0.854 x4

---

## x
AlHgS2: optimized geometry, PBE-GGA.

## Properties
Density of states at the Fermi level in states/eV/cell: 14.67
Size of the total moment in Bohr magnetons per cell: 0.0

a = 6.383 Å, b = 6.383 Å, c = 9.665 Å
α = 90.00°, β = 90.00°, γ = 90.00°
Space group I-42d (No. 122)
Symmetry-distinct sites (fractional):
Al: 0.000 0.000 0.000 x4
Hg: 0.000 0.000 0.500 x4
S: 0.171 0.250 0.125 x8

---

Which structure is most stable? w, by 0.031 eV/atom over the runner-up.

---

## w
AlHgS: optimized geometry, PBE-GGA.

## Properties
Density of states at the Fermi level in states/eV/cell: 1.23
Size of the total moment in Bohr magnetons per cell: 0.0

a = 3.456 Å, b = 3.456 Å, c = 5.591 Å
α = 90.00°, β = 90.00°, γ = 90.00°
Space group P4/mmm (No. 123)
Symmetry-distinct sites (fractional):
Al: 0.000 0.000 0.000 x1
Hg: 0.000 0.000 0.500 x1
S: 0.500 0.500 0.000 x1

---

## x
AlHgS: optimized geometry, PBE-GGA.

## Properties
Density of states at the Fermi level in states/eV/cell: 0.46
Size of the total moment in Bohr magnetons per cell: 0.0

a = 3.5962 Å, b = 3.5962 Å, c = 5.9634 Å
α = 90.00°, β = 90.00°, γ = 120.00°
Space group P3m1 (No. 156)
Symmetry-distinct sites (fractional):
Al: 0.0000 0.0000 0.0000 x1
Hg: 0.6667 0.3333 0.3232 x1
S: 0.3333 0.6667 0.8086 x1

---

Which structure is most stable? x, by 0.100 eV/atom over the runner-up.

---

## w
AlHg3S4: optimized geometry, PBE-GGA.

## Properties
Density of states at the Fermi level in states/eV/cell: 3.75
Size of the total moment in Bohr magnetons per cell: 0.0

a = 5.921 Å, b = 5.921 Å, c = 5.921 Å
α = 90.00°, β = 90.00°, γ = 90.00°
Space group P-43m (No. 215)
Symmetry-distinct sites (fractional):
Al: 0.000 0.000 0.000 x1
Hg: 0.000 0.500 0.500 x3
S: 0.224 0.224 0.224 x4

---

## x
AlHg3S4: optimized geometry, PBE-GGA.

## Properties
Density of states at the Fermi level in states/eV/cell: 4.37
Size of the total moment in Bohr magnetons per cell: 0.0

a = 6.069 Å, b = 6.069 Å, c = 11.254 Å
α = 90.00°, β = 90.00°, γ = 90.00°
Space group I-42m (No. 121)
Symmetry-distinct sites (fractional):
Al: 0.000 0.000 0.000 x2
Hg: 0.000 0.000 0.500 x2
Hg: 0.000 0.500 0.250 x4
S: 0.218 0.218 0.883 x8

---

Which structure is most stable? x, by 0.018 eV/atom over the runner-up.

---

## w
AlHgS3: optimized geometry, PBE-GGA.

## Properties
Density of states at the Fermi level in states/eV/cell: 2.50
Size of the total moment in Bohr magnetons per cell: 0.0

a = 3.747 Å, b = 5.611 Å, c = 13.378 Å
α = 90.00°, β = 90.00°, γ = 90.00°
Space group Amm2 (No. 38)
Symmetry-distinct sites (fractional):
Al: 0.000 0.000 0.000 x2
Hg: 0.500 0.000 0.286 x2
S: 0.000 0.000 0.167 x2
S: 0.500 0.249 0.455 x4

---

## x
AlHgS3: optimized geometry, PBE-GGA.

## Properties
Density of states at the Fermi level in states/eV/cell: 3.84
Size of the total moment in Bohr magnetons per cell: 0.0

a = 4.666 Å, b = 4.666 Å, c = 4.666 Å
α = 90.00°, β = 90.00°, γ = 90.00°
Space group Pm-3m (No. 221)
Symmetry-distinct sites (fractional):
Al: 0.000 0.000 0.000 x1
Hg: 0.500 0.500 0.500 x1
S: 0.000 0.000 0.500 x3

---

Which structure is most stable? w, by 0.380 eV/atom over the runner-up.

---

## w
Al2HgSb: optimized geometry, PBE-GGA.

## Properties
Density of states at the Fermi level in states/eV/cell: 6.80
Size of the total moment in Bohr magnetons per cell: 0.0

a = 7.126 Å, b = 7.126 Å, c = 7.126 Å
α = 90.00°, β = 90.00°, γ = 90.00°
Space group Fm-3m (No. 225)
Symmetry-distinct sites (fractional):
Al: 0.250 0.250 0.250 x8
Hg: 0.000 0.000 0.000 x4
Sb: 0.000 0.000 0.500 x4

---

## x
Al2HgSb: optimized geometry, PBE-GGA.

## Properties
Density of states at the Fermi level in states/eV/cell: 0.87
Size of the total moment in Bohr magnetons per cell: 0.0

a = 4.199 Å, b = 3.858 Å, c = 5.834 Å
α = 90.00°, β = 106.95°, γ = 90.00°
Space group Pm (No. 6)
Symmetry-distinct sites (fractional):
Al: 0.000 0.000 0.000 x1
Al: 0.297 0.500 0.372 x1
Hg: 0.483 0.500 0.919 x1
Sb: 0.845 0.000 0.487 x1

---

Which structure is most stable? x, by 0.087 eV/atom over the runner-up.